A relaxed Be2FePt crystal, computed with PBE.

Calculated values
**E_form**: 0.03 eV per atom

a b c (Å): 6.0730 6.0730 5.0871
angles (deg): 90.00 90.00 90.00
Closest atoms and distances in Å follow each position.
Space group I-42d (No. 122)
Unique sites:
Be 0.2480 0.2500 0.1250 (multiplicity 8)  2 Fe 2.23, 2 Pt 2.25
Fe 0.0000 0.0000 0.0000 (multiplicity 4)  4 Be 2.23
Pt 0.0000 0.0000 0.5000 (multiplicity 4)  4 Be 2.25